Li2Ce2VO6 | PBE+U | relaxed

Cell: 5.8440 5.8440 5.8440 Å, 58.09 58.09 58.09°
Last column: nearest neighbours and their distance in Å.
Sites, in units of the cell vectors:
Li 0.0749 0.0749 0.0749  3 O 1.77
Li 0.9251 0.9251 0.9251  3 O 1.77
Ce 0.2897 0.2897 0.2897  3 O 2.34
Ce 0.7103 0.7103 0.7103  3 O 2.34
V 0.5000 0.5000 0.5000  6 O 1.96
O 0.2600 0.2600 0.7190  1 Li 1.77, 1 V 1.96
O 0.2600 0.7190 0.2600  1 Li 1.77, 1 V 1.96
O 0.2810 0.7400 0.7400  1 Li 1.77, 1 V 1.96
O 0.7190 0.2600 0.2600  1 Li 1.77, 1 V 1.96
O 0.7400 0.2810 0.7400  1 Li 1.77, 1 V 1.96
O 0.7400 0.7400 0.2810  1 Li 1.77, 1 V 1.96

D(E_F), states/eV/cell: 10.9
Uncorrected energy, eV/atom: -7.1809